[1]
DFT (PBE) results for crystalline W3C2S at its relaxed geometry.

Cell: 3.1183 3.1183 17.3284 Å, 90.00 90.00 120.00°
Space group P6_3/mmc (No. 194)
Asymmetric unit:
W 0.0000 0.0000 0.0000
W 0.3333 0.6667 0.1392
C 0.3333 0.6667 0.5741
S 0.0000 0.0000 0.2500

Values from the calculation:
E_tot   -10.02 eV/atom



[2]
DFT (PBE) results for crystalline W2CS at its relaxed geometry.

Cell: 3.1952 3.1952 11.9642 Å, 90.00 90.00 120.00°
Space group P6_3/mmc (No. 194)
Asymmetric unit:
W 0.3333 0.6667 0.0905
C 0.0000 0.0000 0.0000
S 0.3333 0.6667 0.7500

Values from the calculation:
ΔE to the lowest computed polymorph   0.075 eV per atom



[3]
DFT (PBE) results for crystalline W2CS at its relaxed geometry.

Cell: 10.0627 5.4222 11.9366 Å, 90.00 98.68 90.00°
Space group C2/c (No. 15)
Asymmetric unit:
W 0.0419 0.1044 0.4006
W 0.1003 0.4203 0.5815
W 0.2366 0.0659 0.0943
C 0.0919 0.2581 0.9758
C 0.2500 0.2500 0.5000
S 0.0000 0.4335 0.2500
S 0.1951 0.0684 0.7805

Values from the calculation:
ΔE to the lowest computed polymorph   0.000 eV per atom



[4]
DFT (PBE) results for crystalline ZnW4C2S at its relaxed geometry.

Cell: 3.0995 3.0995 12.7800 Å, 90.00 90.00 120.00°
Space group P-6m2 (No. 187)
Asymmetric unit:
Zn 0.0000 0.0000 0.0000
W 0.0000 0.0000 0.3485
W 0.3333 0.6667 0.1687
C 0.6667 0.3333 0.2573
S 0.3333 0.6667 0.5000

Values from the calculation:
E_tot   -9.29 eV/atom



[5]
DFT (PBE) results for crystalline Zr2W4C3S3 at its relaxed geometry.

Cell: 9.8726 5.7071 12.2790 Å, 90.00 103.40 90.00°
Space group C2/c (No. 15)
Asymmetric unit:
Zr 0.0444 0.0836 0.3884
W 0.1055 0.4014 0.5858
W 0.2338 0.4279 0.9197
C 0.0884 0.2633 0.9995
C 0.2500 0.2500 0.5000
S 0.0000 0.4473 0.2500
S 0.1794 0.0957 0.7436

Values from the calculation:
E_tot   -9.49 eV/atom



[6]
DFT (PBE) results for crystalline YZrCS at its relaxed geometry.

Cell: 3.5418 3.5418 12.6498 Å, 90.00 90.00 120.00°
Space group P6_3mc (No. 186)
Asymmetric unit:
Y 0.3333 0.6667 0.0000
Zr 0.3333 0.6667 0.7058
C 0.0000 0.0000 0.1138
S 0.3333 0.6667 0.3458

Values from the calculation:
ΔE to the lowest computed polymorph   0.000 eV per atom